Record 1
Entry from Alexandria: a geometry-optimized AlCd2P2 structure (PBE).

The structure in POSCAR format:
```
AlCd2P2
1.0
7.048 0.000 0.000
0.000 7.048 0.000
0.000 0.000 4.048
Al Cd P
2 4 4
Direct
0.000 0.000 0.000
0.500 0.500 0.000
0.141 0.359 0.500
0.359 0.859 0.500
0.641 0.141 0.500
0.859 0.641 0.500
0.187 0.687 0.000
0.313 0.187 0.000
0.687 0.813 0.000
0.813 0.313 0.000
```

Record 2
Entry from Alexandria: a geometry-optimized Al2CdP structure (PBE).

The structure in POSCAR format:
```
Al2CdP
1.0
3.550 0.000 0.000
0.000 3.525 0.000
-0.682 0.000 6.153
Al Cd P
2 1 1
Direct
0.000 0.000 0.000
0.444 0.500 0.679
0.900 0.000 0.466
0.508 0.500 0.065
```

Summary:
E above lowest polymorph	0.49	eV/f.u.

Record 3
Entry from Alexandria: a geometry-optimized AlCdP4 structure (PBE).

The structure in POSCAR format:
```
AlCdP4
1.0
0.000 3.967 3.967
3.967 0.000 3.967
3.967 3.967 0.000
Al Cd P
1 1 4
Direct
0.000 0.000 0.000
0.750 0.750 0.750
0.352 0.352 0.352
0.352 0.352 0.944
0.352 0.944 0.352
0.944 0.352 0.352
```

Record 4
Entry from Alexandria: a geometry-optimized AlCdP2 structure (PBE).

The structure in POSCAR format:
```
AlCdP2
1.0
7.530 0.000 0.000
0.000 7.226 0.000
-0.935 0.000 2.723
Al Cd P
2 2 4
Direct
0.000 0.000 0.000
0.500 0.500 0.000
0.000 0.500 0.000
0.500 0.000 0.000
0.250 0.250 0.000
0.250 0.750 0.000
0.750 0.250 0.000
0.750 0.750 0.000
```

Summary:
E above lowest polymorph	1.44	eV/f.u.

Record 5
Entry from Alexandria: a geometry-optimized AlCdP2 structure (PBE).

The structure in POSCAR format:
```
AlCdP2
1.0
3.669 0.000 0.000
0.000 3.669 0.000
0.000 0.000 11.140
Al Cd P
2 2 4
Direct
0.000 0.000 0.000
0.500 0.500 0.500
0.000 0.500 0.750
0.500 0.000 0.250
0.000 0.000 0.500
0.000 0.500 0.250
0.500 0.000 0.750
0.500 0.500 0.000
```

Summary:
E above lowest polymorph	1.87	eV/f.u.

Record 6
Entry from Alexandria: a geometry-optimized AlCdP2 structure (PBE).

The structure in POSCAR format:
```
AlCdP2
1.0
2.970 0.000 0.000
-1.485 2.572 0.000
0.000 0.000 31.051
Al Cd P
3 3 6
Direct
0.000 0.000 0.000
0.333 0.667 0.667
0.667 0.333 0.333
0.000 0.000 0.500
0.333 0.667 0.167
0.667 0.333 0.833
0.000 0.000 0.275
0.000 0.000 0.725
0.333 0.667 0.392
0.333 0.667 0.941
0.667 0.333 0.059
0.667 0.333 0.608
```

Summary:
E above lowest polymorph	1.34	eV/f.u.

Record 7
Entry from Alexandria: a geometry-optimized AlCdP2 structure (PBE).

The structure in POSCAR format:
```
AlCdP2
1.0
3.107 0.000 0.000
0.000 5.283 0.000
0.000 0.000 9.338
Al Cd P
2 2 4
Direct
0.000 0.000 0.000
0.500 0.500 0.000
0.000 0.500 0.714
0.500 0.000 0.714
0.000 0.000 0.399
0.000 0.500 0.232
0.500 0.000 0.232
0.500 0.500 0.399
```

Summary:
E above lowest polymorph	1.99	eV/f.u.

Record 8
Entry from Alexandria: a geometry-optimized Al2CdP structure (PBE).

The structure in POSCAR format:
```
Al2CdP
1.0
5.468 0.000 0.000
0.000 10.077 0.000
-2.232 0.000 2.751
Al Cd P
4 2 2
Direct
0.250 0.250 0.000
0.250 0.750 0.000
0.750 0.250 0.000
0.750 0.750 0.000
0.000 0.000 0.500
0.500 0.500 0.500
0.000 0.500 0.500
0.500 0.000 0.500
```

Summary:
E above lowest polymorph	1.22	eV/f.u.

Number 1: energy of formation 0.189 eV/atom, DOS at the Fermi energy 0.418 states/eV/atom. Number 2: energy of formation 0.040 eV/atom, DOS at the Fermi energy 0.286 states/eV/atom. Number 3: energy of formation 0.522 eV/atom, DOS at the Fermi energy 0.446 states/eV/atom. Number 4: energy of formation 0.229 eV/atom, DOS at the Fermi energy 0.403 states/eV/atom. Number 5: energy of formation 0.336 eV/atom, DOS at the Fermi energy 0.542 states/eV/atom. Number 6: energy of formation 0.203 eV/atom, DOS at the Fermi energy 0.432 states/eV/atom. Number 7: energy of formation 0.365 eV/atom, DOS at the Fermi energy 0.228 states/eV/atom. Number 8: energy of formation 0.220 eV/atom, DOS at the Fermi energy 0.461 states/eV/atom.